First-principles (PBE+U) data for a relaxed structure of BeVF5, as listed in Alexandria via LeMat-Bulk.

Structure (POSCAR):
```
BeVF5
1.0
3.751 -3.717 0.000
3.751 3.717 0.000
-3.704 0.000 6.509
Be V F
2 2 10
Direct
0.126 0.874 0.750
0.874 0.126 0.250
0.000 0.500 0.000
0.500 0.000 0.500
0.147 0.650 0.845
0.164 0.173 0.421
0.173 0.164 0.921
0.329 0.671 0.250
0.350 0.853 0.655
0.650 0.147 0.345
0.671 0.329 0.750
0.827 0.836 0.079
0.836 0.827 0.579
0.853 0.350 0.155
```

Values from the calculation:
final energy = -5.973 eV/atom
total magnetic moment = 2.00 μB/f.u.